Density functional theory data (PBE with a Hubbard U) for an optimized crystal structure of Sr3Ti2VO8.

The structure in CIF format:
```
data_Sr3Ti2VO8
_space_group_name_H-M_alt 'P -3 m 1'
_space_group_IT_number 164
_space_group_name_Hall '-P 3 2"'
_cell_length_a 5.7312
_cell_length_b 5.7312
_cell_length_c 7.2390
_cell_angle_alpha 90.00
_cell_angle_beta 90.00
_cell_angle_gamma 120.00
loop_
_atom_site_label
_atom_site_fract_x
_atom_site_fract_y
_atom_site_fract_z
Sr1 0.0000 0.0000 0.0000
Sr2 0.3333 0.6667 0.6406
Ti1 0.3333 0.6667 0.2065
V1 0.0000 0.0000 0.5000
O1 0.1661 0.3321 0.3141
O2 0.3333 0.6667 0.9592
```

Properties
The magnetization is 0.21 μB/atom. The value obtained for the total energy is -107.73 eV per cell.